DFT (PBE) results for a relaxed structure of CsRb3Sb2Au2.

Values from the calculation:
* E: -2.816 eV/atom
* volume: 38.9 A^3/atom

Lattice parameters (Å, degrees): 6.827 6.917 6.936 90.00 108.13 90.00
Space group Pm (No. 6)
Asymmetric unit:
Cs1 0.000 0.000 0.000 x1
Rb1 0.013 0.500 0.327 x1
Rb2 0.340 0.000 0.661 x1
Rb3 0.673 0.500 0.664 x1
Sb1 0.258 0.500 0.906 x1
Sb2 0.755 0.000 0.423 x1
Au1 0.512 0.251 0.162 x2